i.
# ZrTe2SN, relaxed, DFT PBE
# calculated density	5.0	Mg/m³
# crystal system	tetragonal
# total magnetization	0.0	μB/f.u.
data_ZrTe2SN
_chemical_formula_sum 'Zr1 Te2 S1 N1'
_symmetry_space_group_name_H-M 'P 4/m m m'
_symmetry_Int_Tables_number 123
_symmetry_space_group_name_Hall '-P 4 2'
_cell_length_a 5.694
_cell_length_b 5.694
_cell_length_c 4.021
_cell_angle_alpha 90.00
_cell_angle_beta 90.00
_cell_angle_gamma 90.00
loop_
_atom_site_label
_atom_site_fract_x
_atom_site_fract_y
_atom_site_fract_z
Zr1 0.000 0.000 0.000
Te1 0.000 0.500 0.000
S1 0.500 0.500 0.500
N1 0.000 0.000 0.500

=====

ii.
# ZrTe2SN, relaxed, DFT PBE
# calculated density	6.3	Mg/m³
# crystal system	tetragonal
# total magnetization	0.4	μB/f.u.
data_ZrTe2SN
_chemical_formula_sum 'Zr1 Te2 S1 N1'
_symmetry_space_group_name_H-M 'P 4/m m m'
_symmetry_Int_Tables_number 123
_symmetry_space_group_name_Hall '-P 4 2'
_cell_length_a 5.551
_cell_length_b 5.551
_cell_length_c 3.372
_cell_angle_alpha 90.00
_cell_angle_beta 90.00
_cell_angle_gamma 90.00
loop_
_atom_site_label
_atom_site_fract_x
_atom_site_fract_y
_atom_site_fract_z
Zr1 0.000 0.000 0.000
Te1 0.000 0.500 0.500
S1 0.500 0.500 0.500
N1 0.500 0.500 0.000

=====

i takes first place; second place is 165 meV/atom up.

=====

i.
# Th2SN, relaxed, DFT PBE
# calculated density	10.4	Mg/m³
# crystal system	trigonal
# total magnetization	0.0	μB/f.u.
data_Th2SN
_chemical_formula_sum 'Th6 S3 N3'
_symmetry_space_group_name_H-M 'R 3 m'
_symmetry_Int_Tables_number 160
_symmetry_space_group_name_Hall 'R 3 -2"'
_cell_length_a 3.6588
_cell_length_b 3.6588
_cell_length_c 21.0948
_cell_angle_alpha 90.00
_cell_angle_beta 90.00
_cell_angle_gamma 120.00
loop_
_atom_site_label
_atom_site_fract_x
_atom_site_fract_y
_atom_site_fract_z
Th1 0.0000 0.0000 0.0000
Th2 0.0000 0.0000 0.1549
S1 0.0000 0.0000 0.5779
N1 0.0000 0.0000 0.7438

=====

ii.
# Th2SN, relaxed, DFT PBE
# calculated density	10.3	Mg/m³
# crystal system	hexagonal
# total magnetization	0.0	μB/f.u.
data_Th2SN
_chemical_formula_sum 'Th4 S2 N2'
_symmetry_space_group_name_H-M 'P 63/m m c'
_symmetry_Int_Tables_number 194
_symmetry_space_group_name_Hall '-P 6c 2c'
_cell_length_a 3.7387
_cell_length_b 3.7387
_cell_length_c 13.5724
_cell_angle_alpha 90.00
_cell_angle_beta 90.00
_cell_angle_gamma 120.00
loop_
_atom_site_label
_atom_site_fract_x
_atom_site_fract_y
_atom_site_fract_z
Th1 0.3333 0.6667 0.1039
S1 0.3333 0.6667 0.7500
N1 0.0000 0.0000 0.0000

=====

iii.
# Th2SN, relaxed, DFT PBE
# calculated density	10.5	Mg/m³
# crystal system	trigonal
# total magnetization	0.0	μB/f.u.
data_Th2SN
_chemical_formula_sum 'Th6 S3 N3'
_symmetry_space_group_name_H-M 'R -3 m'
_symmetry_Int_Tables_number 166
_symmetry_space_group_name_Hall '-R 3 2"'
_cell_length_a 3.7733
_cell_length_b 3.7733
_cell_length_c 19.6895
_cell_angle_alpha 90.00
_cell_angle_beta 90.00
_cell_angle_gamma 120.00
loop_
_atom_site_label
_atom_site_fract_x
_atom_site_fract_y
_atom_site_fract_z
Th1 0.0000 0.0000 0.2385
S1 0.0000 0.0000 0.0000
N1 0.0000 0.0000 0.5000

=====

iii takes first place; second place is 67 meV/atom up.

=====

i.
# Ti2SN, relaxed, DFT PBE
# calculated density	4.8	Mg/m³
# crystal system	trigonal
# total magnetization	0.0	μB/f.u.
data_Ti2SN
_chemical_formula_sum 'Ti6 S3 N3'
_symmetry_space_group_name_H-M 'R 3 m'
_symmetry_Int_Tables_number 160
_symmetry_space_group_name_Hall 'R 3 -2"'
_cell_length_a 3.1506
_cell_length_b 3.1506
_cell_length_c 17.0439
_cell_angle_alpha 90.00
_cell_angle_beta 90.00
_cell_angle_gamma 120.00
loop_
_atom_site_label
_atom_site_fract_x
_atom_site_fract_y
_atom_site_fract_z
Ti1 0.0000 0.0000 0.0000
Ti2 0.0000 0.0000 0.2028
S1 0.0000 0.0000 0.4341
N1 0.0000 0.0000 0.6036

=====

ii.
# Ti2SN, relaxed, DFT PBE
# calculated density	3.9	Mg/m³
# crystal system	orthorhombic
# total magnetization	0.0	μB/f.u.
data_Ti2SN
_chemical_formula_sum 'Ti4 S2 N2'
_symmetry_space_group_name_H-M 'P m n 21'
_symmetry_Int_Tables_number 31
_symmetry_space_group_name_Hall 'P 2ac -2'
_cell_length_a 3.283
_cell_length_b 7.816
_cell_length_c 4.700
_cell_angle_alpha 90.00
_cell_angle_beta 90.00
_cell_angle_gamma 90.00
loop_
_atom_site_label
_atom_site_fract_x
_atom_site_fract_y
_atom_site_fract_z
Ti1 0.000 0.092 0.000
Ti2 0.000 0.691 0.987
S1 0.000 0.387 0.836
N1 0.000 0.889 0.744

=====

i takes first place; second place is 321 meV/atom up.

=====

i.
# Ti2SN, relaxed, DFT PBE
# calculated density	3.8	Mg/m³
# crystal system	tetragonal
# total magnetization	0.0	μB/f.u.
data_Ti2SN
_chemical_formula_sum 'Ti8 S4 N4'
_symmetry_space_group_name_H-M 'I -4 2 d'
_symmetry_Int_Tables_number 122
_symmetry_space_group_name_Hall 'I -4 2bw'
_cell_length_a 5.043
_cell_length_b 5.043
_cell_length_c 9.820
_cell_angle_alpha 90.00
_cell_angle_beta 90.00
_cell_angle_gamma 90.00
loop_
_atom_site_label
_atom_site_fract_x
_atom_site_fract_y
_atom_site_fract_z
Ti1 0.184 0.250 0.125
S1 0.000 0.000 0.500
N1 0.000 0.000 0.000

=====

ii.
# Ti2SN, relaxed, DFT PBE
# calculated density	5.0	Mg/m³
# crystal system	cubic
# total magnetization	0.0	μB/f.u.
data_Ti2SN
_chemical_formula_sum 'Ti8 S4 N4'
_symmetry_space_group_name_H-M 'F m -3 m'
_symmetry_Int_Tables_number 225
_symmetry_space_group_name_Hall '-F 4 2 3'
_cell_length_a 5.736
_cell_length_b 5.736
_cell_length_c 5.736
_cell_angle_alpha 90.00
_cell_angle_beta 90.00
_cell_angle_gamma 90.00
loop_
_atom_site_label
_atom_site_fract_x
_atom_site_fract_y
_atom_site_fract_z
Ti1 0.250 0.250 0.250
S1 0.000 0.000 0.000
N1 0.000 0.000 0.500

=====

i takes first place; second place is 468 meV/atom up.

=====

i.
# TiTlS2N, relaxed, DFT PBE
# calculated density	5.8	Mg/m³
# crystal system	tetragonal
# total magnetization	0.0	μB/f.u.
data_TiTlS2N
_chemical_formula_sum 'Ti1 Tl1 S2 N1'
_symmetry_space_group_name_H-M 'P 4/m m m'
_symmetry_Int_Tables_number 123
_symmetry_space_group_name_Hall '-P 4 2'
_cell_length_a 4.958
_cell_length_b 4.958
_cell_length_c 3.848
_cell_angle_alpha 90.00
_cell_angle_beta 90.00
_cell_angle_gamma 90.00
loop_
_atom_site_label
_atom_site_fract_x
_atom_site_fract_y
_atom_site_fract_z
Ti1 0.000 0.000 0.000
Tl1 0.500 0.500 0.500
S1 0.000 0.500 0.000
N1 0.000 0.000 0.500

=====

ii.
# TiTlS2N, relaxed, DFT PBE
# calculated density	5.2	Mg/m³
# crystal system	tetragonal
# total magnetization	0.0	μB/f.u.
data_TiTlS2N
_chemical_formula_sum 'Ti1 Tl1 S2 N1'
_symmetry_space_group_name_H-M 'P 4/m m m'
_symmetry_Int_Tables_number 123
_symmetry_space_group_name_Hall '-P 4 2'
_cell_length_a 5.087
_cell_length_b 5.087
_cell_length_c 4.066
_cell_angle_alpha 90.00
_cell_angle_beta 90.00
_cell_angle_gamma 90.00
loop_
_atom_site_label
_atom_site_fract_x
_atom_site_fract_y
_atom_site_fract_z
Ti1 0.000 0.000 0.000
Tl1 0.500 0.500 0.500
S1 0.000 0.500 0.500
N1 0.500 0.500 0.000

=====

i takes first place; second place is 1492 meV/atom up.

=====

i.
# TiTlSN2, relaxed, DFT PBE
# calculated density	5.5	Mg/m³
# crystal system	tetragonal
# total magnetization	0.5	μB/f.u.
data_TiTlSN2
_chemical_formula_sum 'Ti1 Tl1 S1 N2'
_symmetry_space_group_name_H-M 'P 4/m m m'
_symmetry_Int_Tables_number 123
_symmetry_space_group_name_Hall '-P 4 2'
_cell_length_a 4.173
_cell_length_b 4.173
_cell_length_c 5.436
_cell_angle_alpha 90.00
_cell_angle_beta 90.00
_cell_angle_gamma 90.00
loop_
_atom_site_label
_atom_site_fract_x
_atom_site_fract_y
_atom_site_fract_z
Ti1 0.000 0.000 0.000
Tl1 0.500 0.500 0.500
S1 0.500 0.500 0.000
N1 0.000 0.500 0.500

=====

ii.
# TiTlSN2, relaxed, DFT PBE
# calculated density	6.3	Mg/m³
# crystal system	tetragonal
# total magnetization	0.3	μB/f.u.
data_TiTlSN2
_chemical_formula_sum 'Ti1 Tl1 S1 N2'
_symmetry_space_group_name_H-M 'P 4/m m m'
_symmetry_Int_Tables_number 123
_symmetry_space_group_name_Hall '-P 4 2'
_cell_length_a 3.928
_cell_length_b 3.928
_cell_length_c 5.310
_cell_angle_alpha 90.00
_cell_angle_beta 90.00
_cell_angle_gamma 90.00
loop_
_atom_site_label
_atom_site_fract_x
_atom_site_fract_y
_atom_site_fract_z
Ti1 0.000 0.000 0.000
Tl1 0.500 0.500 0.500
S1 0.000 0.000 0.500
N1 0.000 0.500 0.000

=====

ii takes first place; second place is 1439 meV/atom up.

=====

i.
# ZrTiS2N, relaxed, DFT PBE
# calculated density	3.5	Mg/m³
# crystal system	tetragonal
# total magnetization	1.3	μB/f.u.
data_ZrTiS2N
_chemical_formula_sum 'Zr1 Ti1 S2 N1'
_symmetry_space_group_name_H-M 'P 4/m m m'
_symmetry_Int_Tables_number 123
_symmetry_space_group_name_Hall '-P 4 2'
_cell_length_a 5.026
_cell_length_b 5.026
_cell_length_c 4.034
_cell_angle_alpha 90.00
_cell_angle_beta 90.00
_cell_angle_gamma 90.00
loop_
_atom_site_label
_atom_site_fract_x
_atom_site_fract_y
_atom_site_fract_z
Zr1 0.000 0.000 0.000
Ti1 0.500 0.500 0.500
S1 0.000 0.500 0.000
N1 0.000 0.000 0.500

=====

ii.
# ZrTiS2N, relaxed, DFT PBE
# calculated density	4.3	Mg/m³
# crystal system	tetragonal
# total magnetization	0.0	μB/f.u.
data_ZrTiS2N
_chemical_formula_sum 'Zr1 Ti1 S2 N1'
_symmetry_space_group_name_H-M 'P 4/m m m'
_symmetry_Int_Tables_number 123
_symmetry_space_group_name_Hall '-P 4 2'
_cell_length_a 4.739
_cell_length_b 4.739
_cell_length_c 3.732
_cell_angle_alpha 90.00
_cell_angle_beta 90.00
_cell_angle_gamma 90.00
loop_
_atom_site_label
_atom_site_fract_x
_atom_site_fract_y
_atom_site_fract_z
Zr1 0.000 0.000 0.000
Ti1 0.500 0.500 0.500
S1 0.000 0.500 0.500
N1 0.500 0.500 0.000

=====

ii takes first place; second place is 395 meV/atom up.

=====

i.
# TlS2N2, relaxed, DFT PBE
# calculated density	4.5	Mg/m³
# crystal system	triclinic
# total magnetization	0.0	μB/f.u.
data_TlS2N2
_chemical_formula_sum 'Tl1 S2 N2'
_symmetry_space_group_name_H-M 'P -1'
_symmetry_Int_Tables_number 2
_symmetry_space_group_name_Hall '-P 1'
_cell_length_a 4.208
_cell_length_b 4.247
_cell_length_c 7.391
_cell_angle_alpha 90.79
_cell_angle_beta 106.32
_cell_angle_gamma 119.05
loop_
_atom_site_label
_atom_site_fract_x
_atom_site_fract_y
_atom_site_fract_z
Tl1 0.000 0.000 0.000
S1 0.390 0.196 0.584
N1 0.465 0.731 0.197

=====

ii.
# TlS2N2, relaxed, DFT PBE
# calculated density	4.7	Mg/m³
# crystal system	tetragonal
# total magnetization	4.0	μB/f.u.
data_TlS2N2
_chemical_formula_sum 'Tl1 S2 N2'
_symmetry_space_group_name_H-M 'P 4/m m m'
_symmetry_Int_Tables_number 123
_symmetry_space_group_name_Hall '-P 4 2'
_cell_length_a 4.275
_cell_length_b 4.275
_cell_length_c 5.703
_cell_angle_alpha 90.00
_cell_angle_beta 90.00
_cell_angle_gamma 90.00
loop_
_atom_site_label
_atom_site_fract_x
_atom_site_fract_y
_atom_site_fract_z
Tl1 0.000 0.000 0.000
S1 0.000 0.000 0.500
S2 0.500 0.500 0.500
N1 0.000 0.500 0.000

=====

i takes first place; second place is 1619 meV/atom up.